First-principles (meta-GGA SCAN) data for TcSeIBr2 at its PBEsol-relaxed geometry, as listed in Alexandria via LeMat-Bulk.

a b c (Å): 5.328 5.644 5.644
angles (deg): 90.00 90.00 90.00
Each line ends with the local moment (μB).
Element x y z (fractional)
Br: 0.000 0.000 0.500  0.04
Br: 0.000 0.500 0.000  0.04
Se: 0.500 0.000 0.000  -0.01
I: 0.000 0.000 0.000  -0.06
Tc: 0.500 0.500 0.500  4.79

**Space group**: No. 123
**Energy relative to the elements, uncorrected**: 1.099 eV/atom